Entry 1:
Material: MnPRuCN
Method: DFT, PBE-GGA
State: relaxed

Geometry as POSCAR:
```
MnPRuCN
1.0
-0.725 2.075 -1.698
-2.055 0.623 1.638
4.037 4.236 3.454
Ru N Mn C P
1 1 1 1 1
Cartesian
2.332 3.837 3.693
0.664 2.114 0.029
1.972 2.070 1.688
1.009 3.865 2.022
-0.982 1.776 0.318
```

Summary:
The size of the total moment comes out at 1.41 Bohr magnetons per cell. For the density of states at the Fermi level, the calculation gives 0.576 states/eV/atom. The electronic total energy comes out at -8.21 eV/atom.



Entry 2:
Material: MnPRuCN
Method: DFT, PBE-GGA
State: relaxed

Geometry as POSCAR:
```
MnPRuCN
1.0
6.392 0.000 0.022
0.000 2.957 0.000
-0.395 0.000 6.064
Ru N Mn C P
2 2 2 2 2
Cartesian
0.851 0.000 4.781
1.048 1.478 1.749
4.249 0.000 2.620
4.051 1.478 5.652
3.713 0.000 0.688
3.516 1.478 3.720
1.976 0.000 0.621
1.779 1.478 3.652
5.915 0.000 2.819
5.718 1.478 5.851
```

Summary:
The size of the total moment comes out at 0.00 Bohr magnetons per cell. For the density of states at the Fermi level, the calculation gives 0.472 states/eV/atom. The electronic total energy comes out at -8.02 eV/atom.



Entry 3:
Material: MnPRuCN
Method: DFT, PBE-GGA
State: relaxed

Geometry as POSCAR:
```
MnPRuCN
1.0
-2.531 -0.434 1.052
1.514 -2.516 2.608
1.485 4.682 1.835
Ru N Mn C P
1 1 1 1 1
Cartesian
1.238 1.732 4.476
-0.816 -1.041 2.048
1.008 -0.557 2.967
-0.396 0.760 3.803
-1.065 0.688 2.155
```

Summary:
The size of the total moment comes out at 0.00 Bohr magnetons per cell. For the density of states at the Fermi level, the calculation gives 0.849 states/eV/atom. The electronic total energy comes out at -7.86 eV/atom.



Entry 4:
Material: MnPRuCN
Method: DFT, PBE-GGA
State: relaxed

Geometry as POSCAR:
```
MnPRuCN
1.0
2.773 -0.031 0.003
1.296 3.152 -0.005
1.384 -0.190 6.460
Ru N Mn C P
1 1 1 1 1
Cartesian
3.178 1.314 1.041
3.195 2.531 4.552
4.592 2.825 3.293
1.791 1.089 2.565
3.183 2.470 6.176
```

Summary:
The size of the total moment comes out at 1.00 Bohr magnetons per cell. For the density of states at the Fermi level, the calculation gives 0.249 states/eV/atom. The electronic total energy comes out at -8.17 eV/atom.



Entry 5:
Material: MnPRuCN
Method: DFT, PBE-GGA
State: relaxed

Geometry as POSCAR:
```
MnPRuCN
1.0
2.946 0.000 0.000
0.000 2.701 0.000
0.000 0.000 14.028
Ru N Mn C P
2 2 2 2 2
Cartesian
1.473 0.000 1.178
1.473 1.350 8.192
0.000 0.000 5.388
0.000 1.350 12.403
0.000 0.000 3.420
0.000 1.350 10.434
1.473 0.000 9.773
1.473 1.350 2.759
0.000 0.000 13.419
0.000 1.350 6.405
```

Summary:
The size of the total moment comes out at 5.39 Bohr magnetons per cell. For the density of states at the Fermi level, the calculation gives 0.474 states/eV/atom. The electronic total energy comes out at -8.24 eV/atom.



Entry 6:
Material: MnPRuCN
Method: DFT, PBE-GGA
State: relaxed

Geometry as POSCAR:
```
MnPRuCN
1.0
-0.403 -5.987 3.717
2.976 0.093 0.473
-0.682 3.776 3.549
Ru N Mn C P
2 2 2 2 2
Cartesian
-0.480 -4.233 3.858
0.667 -2.298 5.869
-0.590 0.875 3.541
1.239 -0.967 2.003
-0.244 -2.455 2.018
0.903 -0.520 4.029
-0.568 -1.928 3.959
0.579 0.007 5.970
-0.444 1.968 2.408
1.385 0.127 0.870
```

Summary:
The size of the total moment comes out at 5.31 Bohr magnetons per cell. For the density of states at the Fermi level, the calculation gives 0.721 states/eV/atom. The electronic total energy comes out at -8.18 eV/atom.



Repeat the second record exactly.
Material: MnPRuCN
Method: DFT, PBE-GGA
State: relaxed

Geometry as POSCAR:
```
MnPRuCN
1.0
6.392 0.000 0.022
0.000 2.957 0.000
-0.395 0.000 6.064
Ru N Mn C P
2 2 2 2 2
Cartesian
0.851 0.000 4.781
1.048 1.478 1.749
4.249 0.000 2.620
4.051 1.478 5.652
3.713 0.000 0.688
3.516 1.478 3.720
1.976 0.000 0.621
1.779 1.478 3.652
5.915 0.000 2.819
5.718 1.478 5.851
```

Summary:
The size of the total moment comes out at 0.00 Bohr magnetons per cell. For the density of states at the Fermi level, the calculation gives 0.472 states/eV/atom. The electronic total energy comes out at -8.02 eV/atom.



Q: Look up the size of the total moment of the third one.
A: 0.00 Bohr magnetons per cell



Q: Look up the electronic total energy of the second one.
A: -8.02 eV/atom